(1)
The following is a GGA-PBEsol calculation of an optimized crystal structure of MgCd2Sb, from Alexandria.

a b c (Å): 5.850 9.208 3.413
angles (deg): 90.00 90.00 90.00
Space group Cmmm (No. 65)
One atom of each set of equivalent atoms:
1 Mg 0.000 0.000 0.000 x2
2 Cd 0.250 0.250 0.500 x4
3 Sb 0.000 0.500 0.000 x2

The theoretical density comes out at 6.70 g/cm³. The total energy is -2.19 eV per atom. The density of states at the Fermi level is 2.12 states/eV/cell. For the size of the total moment, the calculation gives 0.0 μB/cell. The raw formation energy is -9 kJ/mol of formula units. The volume comes out at 183.8 Å³ per cell.

(2)
The following is a GGA-PBEsol calculation of an optimized crystal structure of MgCdSb2, from Alexandria.

a b c (Å): 7.280 7.280 7.280
angles (deg): 90.00 90.00 90.00
Space group Fm-3m (No. 225)
One atom of each set of equivalent atoms:
1 Mg 0.000 0.000 0.000 x4
2 Cd 0.000 0.000 0.500 x4
3 Sb 0.250 0.250 0.250 x8

The theoretical density comes out at 6.55 g/cm³. For the relative energy among the computed polymorphs, the calculation gives 0.122 eV per atom. The total energy is -2.97 eV per atom. The density of states at the Fermi level is 9.91 states/eV/cell. For the size of the total moment, the calculation gives 0.0 μB/cell. The raw formation energy is 15 kJ/mol of formula units. The volume comes out at 385.9 Å³ per cell.

(3)
The following is a GGA-PBEsol calculation of an optimized crystal structure of Mg2CdSb, from Alexandria.

a b c (Å): 10.659 3.410 5.074
angles (deg): 90.00 98.70 90.00
Space group Cm (No. 8)
One atom of each set of equivalent atoms:
1 Mg 0.000 0.000 0.000 x2
2 Mg 0.244 0.000 0.692 x2
3 Cd 0.247 0.500 0.178 x2
4 Sb 0.001 0.500 0.500 x2

The theoretical density comes out at 5.15 g/cm³. For the relative energy among the computed polymorphs, the calculation gives 0.040 eV per atom. The total energy is -2.41 eV per atom. The density of states at the Fermi level is 2.87 states/eV/cell. For the size of the total moment, the calculation gives 0.0 μB/cell. The raw formation energy is -43 kJ/mol of formula units. The volume comes out at 182.3 Å³ per cell.

(4)
The following is a GGA-PBEsol calculation of an optimized crystal structure of MgCd2Sb, from Alexandria.

a b c (Å): 4.218 4.218 21.560
angles (deg): 90.00 90.00 90.00
Space group I-42d (No. 122)
One atom of each set of equivalent atoms:
1 Mg 0.000 0.000 0.000 x4
2 Cd 0.241 0.250 0.125 x8
3 Sb 0.000 0.000 0.500 x4

The theoretical density comes out at 6.42 g/cm³. The total energy is -2.21 eV per atom. The density of states at the Fermi level is 5.68 states/eV/cell. For the size of the total moment, the calculation gives 0.0 μB/cell. The raw formation energy is -16 kJ/mol of formula units. The volume comes out at 383.6 Å³ per cell.

(5)
The following is a GGA-PBEsol calculation of an optimized crystal structure of MgCdSb2, from Alexandria.

a b c (Å): 3.986 4.390 11.376
angles (deg): 90.00 90.00 90.00
Space group Imm2 (No. 44)
One atom of each set of equivalent atoms:
1 Mg 0.000 0.000 0.000 x2
2 Cd 0.000 0.500 0.202 x2
3 Sb 0.000 0.000 0.485 x2
4 Sb 0.000 0.500 0.777 x2

The theoretical density comes out at 6.34 g/cm³. For the relative energy among the computed polymorphs, the calculation gives 0.055 eV per atom. The total energy is -3.04 eV per atom. The density of states at the Fermi level is 3.50 states/eV/cell. For the size of the total moment, the calculation gives 0.0 μB/cell. The raw formation energy is -11 kJ/mol of formula units. The volume comes out at 199.1 Å³ per cell.

(6)
The following is a GGA-PBEsol calculation of an optimized crystal structure of MgCdSb2, from Alexandria.

a b c (Å): 4.601 4.884 8.605
angles (deg): 90.00 90.00 90.00
Space group Cmmm (No. 65)
One atom of each set of equivalent atoms:
1 Mg 0.000 0.000 0.000 x2
2 Cd 0.000 0.000 0.500 x2
3 Sb 0.000 0.500 0.238 x4

The theoretical density comes out at 6.53 g/cm³. For the relative energy among the computed polymorphs, the calculation gives 0.071 eV per atom. The total energy is -3.02 eV per atom. The density of states at the Fermi level is 3.37 states/eV/cell. For the size of the total moment, the calculation gives 0.0 μB/cell. The raw formation energy is -5 kJ/mol of formula units. The volume comes out at 193.4 Å³ per cell.

(7)
The following is a GGA-PBEsol calculation of an optimized crystal structure of MgCd2Sb, from Alexandria.

a b c (Å): 3.380 4.275 6.299
angles (deg): 90.00 90.00 90.00
Space group Pmm2 (No. 25)
One atom of each set of equivalent atoms:
1 Mg 0.000 0.000 0.000 x1
2 Cd 0.000 0.000 0.522 x1
3 Cd 0.500 0.500 0.730 x1
4 Sb 0.500 0.500 0.221 x1

The theoretical density comes out at 6.77 g/cm³. The total energy is -2.21 eV per atom. The density of states at the Fermi level is 1.55 states/eV/cell. For the size of the total moment, the calculation gives 0.0 μB/cell. The raw formation energy is -16 kJ/mol of formula units. The volume comes out at 91.0 Å³ per cell.

(8)
The following is a GGA-PBEsol calculation of an optimized crystal structure of Mg2CdSb, from Alexandria.

a b c (Å): 3.275 3.275 8.315
angles (deg): 90.00 90.00 90.00
Space group P4/mmm (No. 123)
One atom of each set of equivalent atoms:
1 Mg 0.000 0.000 0.236 x2
2 Cd 0.500 0.500 0.000 x1
3 Sb 0.500 0.500 0.500 x1

The theoretical density comes out at 5.26 g/cm³. For the relative energy among the computed polymorphs, the calculation gives 0.024 eV per atom. The total energy is -2.42 eV per atom. The density of states at the Fermi level is 1.32 states/eV/cell. For the size of the total moment, the calculation gives 0.0 μB/cell. The raw formation energy is -49 kJ/mol of formula units. The volume comes out at 89.2 Å³ per cell.